Material: YInAg
Method: DFT, GGA-PBEsol
State: relaxed

Unit cell a=3.310 b=4.534 c=5.311 alpha=115.27 beta=108.16 gamma=90.00
Sites, in units of the cell vectors:
In 0.668 0.668 0.337
Y 0.333 0.333 0.665
Ag 0.999 0.999 0.998

Values from the calculation:
Fermi-level density of states = 2.06 states/eV/cell
symmetry = Imm2 (44)
E_tot = -13.8 eV per cell

---

Material: Cd2AgAu
Method: DFT, GGA-PBEsol
State: relaxed

Unit cell a=3.056 b=3.850 c=6.143 alpha=90.00 beta=90.00 gamma=90.00
Sites, in units of the cell vectors:
Cd 0.000 0.000 0.750
Cd 0.000 0.000 0.250
Ag 0.500 0.500 0.000
Au 0.500 0.500 0.500

Values from the calculation:
excess energy over the best structure of this formula in the dataset = 13 meV/atom
Fermi-level density of states = 1.08 states/eV/cell
symmetry = Pmmm (47)
E_tot = -10.1 eV per cell